[1]
A relaxed structure of Dy2YCo, computed with PBE.

Values from the calculation:
Calculated formation energy = -0.006 eV per atom
Magnetization = 0.270 Bohr magnetons per cell
Symmetry = R3m (160)
Energy above the most stable polymorph in this dataset = 151 meV/atom

Cell lengths 3.7662, 3.7662, 9.1975 Å; angles 78.19, 78.19, 60.00 degrees
Closest atoms and distances in Å follow each position.
Atoms (fractional coordinates):
Y 0.5013 0.5013 0.4960  6 Dy 3.62-3.70, 6 Y 3.77
Dy 0.0564 0.0564 0.8308  3 Co 2.66
Dy 0.2762 0.2762 0.1715  3 Co 2.65
Co 0.6661 0.6661 0.0018  6 Dy 2.65-2.66


[2]
A relaxed structure of CaPrNi, computed with PBE.

Values from the calculation:
Calculated formation energy = -0.014 eV per atom
Magnetization = 0.000 Bohr magnetons per cell
Symmetry = F-43m (216)
Energy above the most stable polymorph in this dataset = 144 meV/atom

Cell lengths 4.9033, 4.9033, 4.9033 Å; angles 60.00, 60.00, 60.00 degrees
Closest atoms and distances in Å follow each position.
Atoms (fractional coordinates):
Ca 0.5000 0.5000 0.5000  4 Ni 3.00
Ni 0.2500 0.2500 0.2500  4 Pr 3.00, 4 Ca 3.00
Pr 0.0000 0.0000 0.0000  4 Ni 3.00